DyErTm2P4 | GGA-PBE | optimized geometry

a = 6.8716 Å, b = 3.9690 Å, c = 6.8718 Å
α = 90.00°, β = 109.47°, γ = 90.00°
Positions (direct):
1 Dy 0.0000 0.0000 0.0000
2 Er 0.0000 0.5000 0.5000
3 Tm 0.5000 0.0000 0.5000
4 Tm 0.5000 0.5000 0.0000
5 P 0.2520 0.0000 0.7496
6 P 0.2529 0.5000 0.2520
7 P 0.7471 0.5000 0.7480
8 P 0.7480 0.0000 0.2504

Computed properties:
As for the space group: P2/m (10). The volume is 22.1 A^3/atom. Its formation energy is -1610 meV/atom. The electronic total energy is -6.578 eV per atom.